{"formula": "CoMoPb3", "functional": "PBE", "state": "optimized geometry", "polymorph_energy_mev_per_atom": 171, "e_form_mev_per_atom": 1135, "total_energy_ev_per_atom": -4.678, "spacegroup": "Pm-3m (221)", "cell": [[-2.6238, -2.3726, 4.0588], [-1.5613, -3.9446, -3.3151], [4.4345, -2.7926, 1.2343]], "species": ["Pb", "Pb", "Pb", "Mo", "Co"], "fractional_positions": [[0.0000, 0.5000, 0.0000], [0.0000, 0.0000, 0.5000], [0.5000, 0.0000, 0.0000], [0.0000, 0.0000, 0.0000], [0.5000, 0.5000, 0.5000]]}